# 1
! BeSb4Pb (meta-GGA SCAN, PBEsol geometry); values from VASP
! Formation energy from raw total energies: 0.69 eV/atom
! Spin magnetization: 0.0 μB per cell
! Symmetry: F-43m (216)
&SYSTEM
  ibrav = 0, nat = 6, ntyp = 3
/
ATOMIC_SPECIES
Pb 207.20 Pb.upf
Sb 121.76 Sb.upf
Be 9.01 Be.upf
ATOMIC_POSITIONS angstrom
Pb 0.000 0.000 0.000
Sb 4.631 2.674 1.891
Sb 6.166 3.560 4.398
Sb 7.702 2.674 1.891
Sb 6.166 5.333 1.891
Be 9.249 5.340 3.776
CELL_PARAMETERS angstrom
6.166 0.000 0.000
3.083 5.340 0.000
3.083 1.780 5.035

***

# 2
! Ba2InAg (meta-GGA SCAN, PBEsol geometry); values from VASP
! Energy relative to the elements: -376.2 meV/atom
! Spin magnetization: 0.0 μB per cell
! Symmetry: P4/mmm (123)
&SYSTEM
  ibrav = 0, nat = 4, ntyp = 3
/
ATOMIC_SPECIES
Ba 137.33 Ba.upf
Ag 107.87 Ag.upf
In 114.82 In.upf
ATOMIC_POSITIONS angstrom
Ba 0.000 0.000 0.735
Ba 0.000 2.937 3.673
Ag 2.000 2.937 0.734
In 2.000 0.000 3.672
CELL_PARAMETERS angstrom
4.000 0.000 0.000
0.000 5.875 0.000
0.000 0.000 5.876